Entry 1:
VASP calculation (GGA-PBE) on a geometry-optimized Dy12In3Pb structure.

Cell lengths 4.8413, 4.8413, 19.3867 Å; angles 90.00, 90.00, 90.00 degrees
Atoms (fractional coordinates):
Dy (0.0000, 0.0000, 0.0000)
Dy (0.0000, 0.0000, 0.2501)
Dy (0.0000, 0.0000, 0.5000)
Dy (0.0000, 0.0000, 0.7499)
Dy (0.0000, 0.5000, 0.1252)
Dy (0.0000, 0.5000, 0.3742)
Dy (0.0000, 0.5000, 0.6258)
Dy (0.0000, 0.5000, 0.8748)
Dy (0.5000, 0.0000, 0.1252)
Dy (0.5000, 0.0000, 0.3742)
Dy (0.5000, 0.0000, 0.6258)
Dy (0.5000, 0.0000, 0.8748)
In (0.5000, 0.5000, 0.0000)
In (0.5000, 0.5000, 0.2490)
In (0.5000, 0.5000, 0.7510)
Pb (0.5000, 0.5000, 0.5000)

Properties
- Magnetic moment: 0.00 μB per atom
- Energy relative to the elements: -26.2 kJ/mol of atoms
- Total DFT energy (no corrections): -71.50 eV per formula unit



Entry 2:
VASP calculation (GGA-PBE) on a geometry-optimized Dy2InPb structure.

Cell lengths 6.1953, 4.3447, 8.9780 Å; angles 90.00, 108.05, 90.00 degrees
Atoms (fractional coordinates):
Dy (0.1971, 0.2500, 0.4328)
Dy (0.2946, 0.7500, 0.0669)
Dy (0.7054, 0.2500, 0.9331)
Dy (0.8029, 0.7500, 0.5672)
In (0.1136, 0.2500, 0.7960)
In (0.8864, 0.7500, 0.2040)
Pb (0.3900, 0.7500, 0.7042)
Pb (0.6100, 0.2500, 0.2958)

Properties
- Magnetic moment: 0.00 μB per atom
- Energy relative to the elements: -45.2 kJ/mol of atoms
- Total DFT energy (no corrections): -17.53 eV per formula unit



Entry 3:
VASP calculation (GGA-PBE) on a geometry-optimized Dy2In9Pb structure.

Cell lengths 4.6719, 4.6719, 14.3462 Å; angles 90.00, 90.00, 90.00 degrees
Atoms (fractional coordinates):
Dy (0.0000, 0.0000, 0.1604)
Dy (0.0000, 0.0000, 0.8396)
In (0.0000, 0.5000, 0.0000)
In (0.0000, 0.5000, 0.3264)
In (0.0000, 0.5000, 0.6736)
In (0.5000, 0.0000, 0.0000)
In (0.5000, 0.0000, 0.3264)
In (0.5000, 0.0000, 0.6736)
In (0.5000, 0.5000, 0.1620)
In (0.5000, 0.5000, 0.5000)
In (0.5000, 0.5000, 0.8380)
Pb (0.0000, 0.0000, 0.5000)

Properties
- Magnetic moment: 0.00 μB per atom
- Energy relative to the elements: -21.7 kJ/mol of atoms
- Total DFT energy (no corrections): -40.26 eV per formula unit